[1]
PBE LiNi2Ge, relaxed; space group = F-43m (216); crystal system = cubic; VASP energy = -4.67 eV/atom; magnetization = 0.0 μB/cell
1.0
3.215 -0.373 2.393
0.304 -3.152 2.485
2.723 -2.876 -0.721
Ni Ge Li
2 1 1
direct
0.500 0.500 0.500
0.750 0.750 0.750
0.000 0.000 0.000
0.250 0.250 0.250

=====

[2]
PBE LiNi2Ge, relaxed; space group = P4/mmm (123); crystal system = tetragonal; VASP energy = -4.73 eV/atom; magnetization = 0.0 μB/cell
1.0
3.725 0.000 0.000
0.000 3.725 0.000
0.000 0.000 3.339
Ge Ni Li
1 2 1
direct
0.500 0.500 0.000
0.500 0.000 0.500
0.000 0.500 0.500
0.000 0.000 0.000

=====

[3]
PBE LiNi2Ge, relaxed; space group = P4/mmm (123); crystal system = tetragonal; VASP energy = -4.73 eV/atom; magnetization = 0.0 μB/cell
1.0
5.250 0.000 0.000
0.000 5.251 0.000
0.000 0.000 6.705
Ni Li Ge
8 4 4
direct
0.000 0.000 0.750
0.500 0.000 0.750
0.000 0.000 0.250
0.500 0.500 0.250
0.500 0.500 0.750
0.000 0.500 0.750
0.500 0.000 0.250
0.000 0.500 0.250
0.750 0.750 0.000
0.750 0.750 0.500
0.250 0.250 0.000
0.250 0.250 0.500
0.250 0.750 0.500
0.750 0.250 0.000
0.750 0.250 0.500
0.250 0.750 0.000

=====

[4]
PBE LiNi2Ge, relaxed; space group = P4/mmm (123); crystal system = tetragonal; VASP energy = -4.60 eV/atom; magnetization = 0.0 μB/cell
1.0
2.996 0.000 0.000
0.000 2.996 0.000
0.000 0.000 5.350
Ge Li Ni
1 1 2
direct
0.000 0.000 0.500
0.000 0.000 0.000
0.500 0.500 0.741
0.500 0.500 0.259

=====

Copy entry 1 word for word.
PBE LiNi2Ge, relaxed; space group = F-43m (216); crystal system = cubic; VASP energy = -4.67 eV/atom; magnetization = 0.0 μB/cell
1.0
3.215 -0.373 2.393
0.304 -3.152 2.485
2.723 -2.876 -0.721
Ni Ge Li
2 1 1
direct
0.500 0.500 0.500
0.750 0.750 0.750
0.000 0.000 0.000
0.250 0.250 0.250

=====

> Which formula does entry 1 have?

LiNi2Ge

=====

> Which value of magnetization does entry 2 give?

0.0 μB/cell